{
  "formula": "NbCrBr2",
  "functional": "PBE",
  "state": "optimized geometry",
  "spacegroup": "Fm-3m (225)",
  "e_above_lowest_polymorph_mev_per_atom": 302,
  "formation_energy_uncorrected_mev_per_atom": 521,
  "cell": [[0.0000, 3.3479, 3.3479], [3.3479, 0.0000, 3.3479], [3.3479, 3.3479, 0.0000]],
  "species": ["Nb", "Cr", "Br", "Br"],
  "frac_coords": [[0.0000, 0.0000, 0.0000], [0.5000, 0.5000, 0.5000], [0.2500, 0.2500, 0.2500], [0.7500, 0.7500, 0.7500]]
}